DFT (PBE) results for LiMg2Os after structural relaxation.

a = 5.0878 Å, b = 5.0878 Å, c = 4.8847 Å
α = 77.91°, β = 77.91°, γ = 32.12°
Element x y z (fractional)
Li  0.2353  0.2353  0.2400
Mg  0.9956  0.9956  0.0365
Mg  0.7622  0.7622  0.6934
Os  0.5069  0.5069  0.5301

Summary:
- Energy relative to the elements: 14.39 kJ/mol of atoms
- Total magnetic moment: 0.0 μB/f.u.
- Density of states at the Fermi level: 2.2 states/eV/cell

=====

DFT (PBE) results for GdTmRh after structural relaxation.

a = 4.1423 Å, b = 4.5301 Å, c = 4.5301 Å
α = 120.00°, β = 90.00°, γ = 90.00°
Element x y z (fractional)
Gd  0.7274  0.6667  0.3333
Tm  0.2537  0.3333  0.6667
Rh  0.0189  0.0000  0.0000

Summary:
- Energy relative to the elements: -39.94 kJ/mol of atoms
- Total magnetic moment: 7.3 μB/f.u.
- Density of states at the Fermi level: 3.0 states/eV/cell
- E above lowest polymorph: 0.172 eV/atom

=====

DFT (PBE) results for Y2NbCr after structural relaxation.

a = 7.9633 Å, b = 7.9633 Å, c = 6.4089 Å
α = 51.59°, β = 51.59°, γ = 90.00°
Element x y z (fractional)
Y  0.6015  0.1250  0.2500
Y  0.1485  0.6250  0.2500
Y  0.3750  0.3985  0.7500
Y  0.8750  0.8515  0.7500
Cr  0.5000  0.5000  0.0000
Cr  0.2500  0.7500  0.5000
Nb  0.0000  0.0000  0.0000
Nb  0.7500  0.2500  0.5000

Summary:
- Energy relative to the elements: 78.96 kJ/mol of atoms
- Total magnetic moment: 2.6 μB/f.u.
- Density of states at the Fermi level: 8.5 states/eV/cell
- E above lowest polymorph: 0.318 eV/atom

=====

DFT (PBE) results for Be2AgBi after structural relaxation.

a = 4.3078 Å, b = 4.3078 Å, c = 8.8086 Å
α = 75.85°, β = 75.85°, γ = 90.00°
Element x y z (fractional)
Be  0.3832  0.1250  0.2500
Be  0.3668  0.6250  0.2500
Be  0.3750  0.6168  0.7500
Be  0.8750  0.6332  0.7500
Bi  0.0000  0.0000  0.0000
Bi  0.7500  0.2500  0.5000
Ag  0.5000  0.5000  0.0000
Ag  0.2500  0.7500  0.5000

Summary:
- Energy relative to the elements: 49.91 kJ/mol of atoms
- Total magnetic moment: 0.0 μB/f.u.
- Density of states at the Fermi level: 3.4 states/eV/cell

=====

Q: Among the records above, which one has the highest density of states at the Fermi level?
A: Y2NbCr

=====

Q: Which value of total magnetic moment does entry 1 give?
A: 0.0 μB/f.u.

=====

Q: density of states at the Fermi level of number 3 (Y2NbCr)?
A: 8.5 states/eV/cell

=====

Q: What is the formula in the first record?
A: LiMg2Os